The following is a DFT calculation (GGA-PBE) of an optimized crystal structure of CrCd2Ru.

Cell lengths 3.399, 3.399, 6.061 Å; angles 90.00, 90.00, 90.00 degrees
Element x y z (fractional)
Cr 0.000 0.000 0.000
Cd 0.500 0.500 0.256
Cd 0.500 0.500 0.744
Ru 0.000 0.000 0.500

Total moment = 3.84 μB per formula unit
Energy above the lowest structure with this stoichiometry = 311.9 meV per atom
E_tot = -0.3461 Ry/atom
Space group = P4/mmm, No. 123
DOS at the Fermi energy = 4.96 states/eV/f.u.



The following is a DFT calculation (GGA-PBE) of an optimized crystal structure of Cr2SbOs.

Cell lengths 5.689, 5.689, 5.689 Å; angles 103.80, 103.80, 121.52 degrees
Element x y z (fractional)
Cr 0.088 0.625 0.963
Cr 0.375 0.338 0.463
Cr 0.662 0.125 0.037
Cr 0.875 0.912 0.537
Sb 0.250 0.750 0.500
Sb 0.500 0.500 0.000
Os 0.000 0.000 0.000
Os 0.750 0.250 0.500

Total moment = 3.73 μB per formula unit
E_tot = -0.5803 Ry/atom
Space group = I-42d, No. 122
DOS at the Fermi energy = 5.50 states/eV/f.u.



The following is a DFT calculation (GGA-PBE) of an optimized crystal structure of K2CrCuBr6.

Cell lengths 7.683, 7.658, 12.288 Å; angles 90.00, 127.57, 90.00 degrees
Element x y z (fractional)
K 0.243 0.049 0.250
K 0.243 0.451 0.750
K 0.757 0.549 0.250
K 0.757 0.951 0.750
Cr 0.000 0.000 0.500
Cr 0.000 0.500 0.000
Cu 0.500 0.000 0.000
Cu 0.500 0.500 0.500
Br 0.160 0.238 0.961
Br 0.160 0.262 0.461
Br 0.220 0.703 0.961
Br 0.220 0.797 0.461
Br 0.338 0.010 0.760
Br 0.338 0.490 0.260
Br 0.662 0.510 0.740
Br 0.662 0.990 0.240
Br 0.780 0.203 0.539
Br 0.780 0.297 0.039
Br 0.840 0.738 0.539
Br 0.840 0.762 0.039

Total moment = 2.95 μB per formula unit
E_tot = -0.2655 Ry/atom
Space group = P2_1/c, No. 14



The following is a DFT calculation (GGA-PBE) of an optimized crystal structure of KSe3N.

Cell lengths 6.475, 6.475, 6.475 Å; angles 90.00, 90.00, 90.00 degrees
Element x y z (fractional)
K 0.000 0.000 0.000
Se 0.000 0.000 0.500
Se 0.000 0.500 0.000
Se 0.500 0.000 0.000
N 0.500 0.500 0.500

Total moment = 8.00 μB per formula unit
Energy above the lowest structure with this stoichiometry = 1276.7 meV per atom
E_tot = -0.1608 Ry/atom
Space group = Pm-3m, No. 221
DOS at the Fermi energy = 8.17 states/eV/f.u.



The following is a DFT calculation (GGA-PBE) of an optimized crystal structure of Li2DyY.

Cell lengths 3.714, 3.714, 7.426 Å; angles 90.00, 90.00, 90.00 degrees
Element x y z (fractional)
Li 0.000 0.000 0.248
Li 0.000 0.000 0.752
Dy 0.500 0.500 0.000
Y 0.500 0.500 0.500

Total moment = 0.00 μB per formula unit
Energy above the lowest structure with this stoichiometry = 0.0 meV per atom
E_tot = -0.2632 Ry/atom
Space group = P4/mmm, No. 123
DOS at the Fermi energy = 3.93 states/eV/f.u.



The following is a DFT calculation (GGA-PBE) of an optimized crystal structure of Tb9Sm2Tl.

Cell lengths 4.969, 4.969, 15.221 Å; angles 90.00, 90.00, 90.00 degrees
Element x y z (fractional)
Tb 0.000 0.000 0.000
Tb 0.000 0.000 0.328
Tb 0.000 0.000 0.672
Tb 0.000 0.500 0.161
Tb 0.000 0.500 0.500
Tb 0.000 0.500 0.839
Tb 0.500 0.000 0.161
Tb 0.500 0.000 0.500
Tb 0.500 0.000 0.839
Sm 0.500 0.500 0.332
Sm 0.500 0.500 0.668
Tl 0.500 0.500 0.000

Total moment = 0.00 μB per formula unit
E_tot = -0.3304 Ry/atom
Space group = P4/mmm, No. 123
DOS at the Fermi energy = 15.49 states/eV/f.u.



The following is a DFT calculation (GGA-PBE) of an optimized crystal structure of PmSmMnAu.

Cell lengths 5.179, 5.179, 5.179 Å; angles 60.00, 60.00, 60.00 degrees
Element x y z (fractional)
Pm 0.000 0.000 0.000
Sm 0.500 0.500 0.500
Mn 0.750 0.750 0.750
Au 0.250 0.250 0.250

Total moment = 3.22 μB per formula unit
E_tot = -0.4173 Ry/atom
Space group = F-43m, No. 216
DOS at the Fermi energy = 4.46 states/eV/f.u.



The following is a DFT calculation (GGA-PBE) of an optimized crystal structure of Pm4Dy7Y.

Cell lengths 6.556, 6.840, 9.105 Å; angles 85.51, 77.25, 82.15 degrees
Element x y z (fractional)
Pm 0.137 0.308 0.283
Pm 0.340 0.884 0.693
Pm 0.660 0.116 0.307
Pm 0.863 0.692 0.717
Dy 0.013 0.252 0.949
Dy 0.183 0.801 0.359
Dy 0.311 0.394 0.615
Dy 0.500 0.000 0.000
Dy 0.689 0.606 0.385
Dy 0.817 0.199 0.641
Dy 0.987 0.748 0.051
Y 0.500 0.500 0.000

Total moment = 0.00 μB per formula unit
Energy above the lowest structure with this stoichiometry = 0.0 meV per atom
E_tot = -0.3470 Ry/atom
Space group = P-1, No. 2
DOS at the Fermi energy = 19.00 states/eV/f.u.



The following is a DFT calculation (GGA-PBE) of an optimized crystal structure of CaTlGa2Br8.

Cell lengths 7.023, 7.023, 9.983 Å; angles 90.00, 90.00, 120.00 degrees
Element x y z (fractional)
Ca 0.000 0.000 0.000
Tl 0.000 0.000 0.500
Ga 0.333 0.667 0.253
Ga 0.667 0.333 0.747
Br 0.006 0.678 0.818
Br 0.322 0.329 0.818
Br 0.329 0.006 0.182
Br 0.333 0.667 0.493
Br 0.667 0.333 0.507
Br 0.671 0.994 0.818
Br 0.678 0.671 0.182
Br 0.994 0.322 0.182

Total moment = 0.79 μB per formula unit
E_tot = -0.2192 Ry/atom
Space group = P-3, No. 147
DOS at the Fermi energy = 7.17 states/eV/f.u.



The following is a DFT calculation (GGA-PBE) of an optimized crystal structure of VTe.

Cell lengths 3.417, 3.418, 7.725 Å; angles 88.79, 88.43, 88.38 degrees
Element x y z (fractional)
V 0.205 0.207 0.086
V 0.795 0.793 0.914
Te 0.277 0.273 0.731
Te 0.723 0.727 0.269

Total moment = 0.00 μB per formula unit
E_tot = -0.4641 Ry/atom
Space group = P-1, No. 2
DOS at the Fermi energy = 1.27 states/eV/f.u.



The following is a DFT calculation (GGA-PBE) of an optimized crystal structure of Tb6GeSb2.

Cell lengths 6.944, 6.944, 13.101 Å; angles 90.00, 90.00, 90.00 degrees
Element x y z (fractional)
Tb 0.197 0.197 0.157
Tb 0.197 0.197 0.843
Tb 0.214 0.214 0.500
Tb 0.286 0.714 0.000
Tb 0.303 0.697 0.343
Tb 0.303 0.697 0.657
Tb 0.697 0.303 0.343
Tb 0.697 0.303 0.657
Tb 0.714 0.286 0.000
Tb 0.786 0.786 0.500
Tb 0.803 0.803 0.157
Tb 0.803 0.803 0.843
Ge 0.000 0.000 0.000
Ge 0.500 0.500 0.500
Sb 0.000 0.000 0.333
Sb 0.000 0.000 0.667
Sb 0.500 0.500 0.167
Sb 0.500 0.500 0.833

Total moment = 2.15 μB per formula unit
E_tot = -0.3600 Ry/atom
Space group = P4_2/mnm, No. 136
DOS at the Fermi energy = 15.46 states/eV/f.u.



The following is a DFT calculation (GGA-PBE) of an optimized crystal structure of Pm5Er2Sc2.

Cell lengths 9.400, 9.400, 9.477 Å; angles 115.26, 115.26, 21.88 degrees
Element x y z (fractional)
Pm 0.000 0.000 0.000
Pm 0.185 0.185 0.332
Pm 0.335 0.335 0.010
Pm 0.665 0.665 0.990
Pm 0.815 0.815 0.668
Er 0.140 0.140 0.653
Er 0.860 0.860 0.347
Sc 0.483 0.483 0.662
Sc 0.517 0.517 0.338

Total moment = 0.00 μB per formula unit
Energy above the lowest structure with this stoichiometry = 0.0 meV per atom
E_tot = -0.3701 Ry/atom
Space group = C2/m, No. 12
DOS at the Fermi energy = 12.96 states/eV/f.u.



The following is a DFT calculation (GGA-PBE) of an optimized crystal structure of P2SeN.

Cell lengths 4.270, 4.270, 4.270 Å; angles 60.00, 60.00, 60.00 degrees
Element x y z (fractional)
P 0.250 0.250 0.250
P 0.750 0.750 0.750
Se 0.000 0.000 0.000
N 0.500 0.500 0.500

Total moment = 0.00 μB per formula unit
Energy above the lowest structure with this stoichiometry = 774.0 meV per atom
E_tot = -0.3037 Ry/atom
Space group = Fm-3m, No. 225
DOS at the Fermi energy = 1.90 states/eV/f.u.



The following is a DFT calculation (GGA-PBE) of an optimized crystal structure of Ho5Cd4Sn.

Cell lengths 3.741, 3.741, 18.542 Å; angles 90.00, 90.00, 90.00 degrees
Element x y z (fractional)
Ho 0.000 0.000 0.000
Ho 0.000 0.000 0.200
Ho 0.000 0.000 0.399
Ho 0.000 0.000 0.601
Ho 0.000 0.000 0.800
Cd 0.500 0.500 0.100
Cd 0.500 0.500 0.296
Cd 0.500 0.500 0.704
Cd 0.500 0.500 0.900
Sn 0.500 0.500 0.500

Total moment = 0.00 μB per formula unit
E_tot = -0.2524 Ry/atom
Space group = P4/mmm, No. 123
DOS at the Fermi energy = 7.89 states/eV/f.u.



The following is a DFT calculation (GGA-PBE) of an optimized crystal structure of K2YNpS4.

Cell lengths 7.078, 4.084, 7.734 Å; angles 90.00, 107.85, 90.00 degrees
Element x y z (fractional)
K 0.000 0.000 0.000
K 0.500 0.500 0.000
Y 0.000 0.500 0.500
Np 0.500 0.000 0.500
S 0.232 0.000 0.703
S 0.265 0.500 0.299
S 0.735 0.500 0.701
S 0.768 0.000 0.297

Total moment = 4.00 μB per formula unit
E_tot = -0.4699 Ry/atom
Space group = P2/m, No. 10
DOS at the Fermi energy = 8.30 states/eV/f.u.



The following is a DFT calculation (GGA-PBE) of an optimized crystal structure of Ac2ThSe2S2.

Cell lengths 8.710, 8.710, 8.710 Å; angles 144.54, 144.54, 51.02 degrees
Element x y z (fractional)
Ac 0.125 0.125 0.000
Ac 0.875 0.875 0.000
Th 0.500 0.500 0.000
Se 0.316 0.316 0.000
Se 0.684 0.684 0.000
S 0.000 0.500 0.500
S 0.500 0.000 0.500

Total moment = 0.00 μB per formula unit
E_tot = -0.4435 Ry/atom
Space group = I4/mmm, No. 139
DOS at the Fermi energy = 6.68 states/eV/f.u.



The following is a DFT calculation (GGA-PBE) of an optimized crystal structure of AsPt2Rh.

Cell lengths 2.804, 2.804, 9.267 Å; angles 90.00, 90.00, 119.88 degrees
Element x y z (fractional)
As 0.000 0.000 0.000
Pt 0.000 0.000 0.483
Pt 0.500 0.500 0.744
Rh 0.500 0.500 0.228

Total moment = 0.00 μB per formula unit
E_tot = -0.4357 Ry/atom
Space group = Cmm2, No. 35
DOS at the Fermi energy = 4.15 states/eV/f.u.



The following is a DFT calculation (GGA-PBE) of an optimized crystal structure of Pr2H6IrPt.

Cell lengths 5.367, 5.367, 5.338 Å; angles 118.76, 118.76, 92.18 degrees
Element x y z (fractional)
Pr 0.250 0.750 0.000
Pr 0.750 0.250 0.000
H 0.232 0.768 0.500
H 0.233 0.233 0.965
H 0.243 0.243 0.502
H 0.757 0.757 0.498
H 0.767 0.767 0.035
H 0.768 0.232 0.500
Ir 0.000 0.000 0.500
Pt 0.500 0.500 0.500

Total moment = 0.00 μB per formula unit
E_tot = -0.3655 Ry/atom
Space group = C2/m, No. 12
DOS at the Fermi energy = 3.97 states/eV/f.u.



The following is a DFT calculation (GGA-PBE) of an optimized crystal structure of Ho4Tm7Zr.

Cell lengths 6.520, 6.520, 12.648 Å; angles 114.74, 114.74, 51.38 degrees
Element x y z (fractional)
Ho 0.143 0.143 0.277
Ho 0.286 0.286 0.834
Ho 0.714 0.714 0.166
Ho 0.857 0.857 0.723
Tm 0.000 0.000 0.500
Tm 0.133 0.133 0.990
Tm 0.294 0.294 0.575
Tm 0.424 0.424 0.202
Tm 0.576 0.576 0.798
Tm 0.706 0.706 0.425
Tm 0.867 0.867 0.010
Zr 0.500 0.500 0.500

Total moment = 0.00 μB per formula unit
Energy above the lowest structure with this stoichiometry = 133.3 meV per atom
E_tot = -0.3338 Ry/atom
Space group = C2/m, No. 12
DOS at the Fermi energy = 19.62 states/eV/f.u.